Pm6NdTm2Th | GGA-PBE | optimized geometry

Lattice parameters (Å, degrees): 9.3871 14.9915 9.6946 90.00 97.42 90.00
Last column: nearest neighbours and their distance in Å.
Space group C2/c (No. 15)
Asymmetric unit:
Pm 0.0653 0.1729 0.4412  7 Pm 3.46-3.85, 2 Tm 3.48-3.78, 2 Th 3.60-3.77
Pm 0.0943 0.3917 0.6185  3 Pm 3.29-3.46, 3 Tm 3.32-3.48, 2 Nd 3.46-3.57
Pm 0.2047 0.2198 0.8154  2 Pm 3.29-3.68, 1 Th 3.42, 1 Tm 3.46, 1 Nd 3.47
Nd 0.0000 0.4055 0.2500  6 Pm 3.46-3.57, 2 Tm 3.56
Tm 0.2442 0.0461 0.0521  5 Pm 3.32-3.48, 2 Th 3.38-3.48, 1 Nd 3.56
Th 0.0000 0.0324 0.7500  4 Tm 3.38-3.48, 6 Pm 3.42-3.77

**Crystal system**: monoclinic
**Total moment**: 0.000 μB per atom
**DFT formation energy**: 0.1413 eV per atom
**Density of states at the Fermi level**: 14.398 states/eV/f.u.